This record from Alexandria describes a geometry-optimized SnBiPt4 structure. The functional is PBE.

The space group is F-43m (No. 216) and the conventional cell measures 7.717, 7.717 and 7.717 Å, with angles of 90.00, 90.00 and 90.00 degrees. Symmetry generates all atoms from Sn at (0.000, 0.000, 0.000), Bi at (0.250, 0.250, 0.750) and Pt at (0.125, 0.125, 0.375).

The calculation puts the formation energy at -136 meV per atom.